Compound: PaCuRh2
Source: Alexandria via LeMat-Bulk
Functional: GGA-PBE
Structure: optimized geometry

abc: 6.4860 6.4860 6.4860
angles: 90.00 90.00 90.00
Last column: nearest neighbours and their distance in Å.
Fractional positions:
Pa 0.0000 0.0000 0.0000  8 Rh 2.81
Pa 0.0000 0.5000 0.5000  8 Rh 2.81
Pa 0.5000 0.0000 0.5000  8 Rh 2.81
Pa 0.5000 0.5000 0.0000  8 Rh 2.81
Cu 0.0000 0.0000 0.5000  8 Rh 2.81
Cu 0.0000 0.5000 0.0000  8 Rh 2.81
Cu 0.5000 0.0000 0.0000  8 Rh 2.81
Cu 0.5000 0.5000 0.5000  8 Rh 2.81
Rh 0.2500 0.2500 0.2500  4 Pa 2.81, 4 Cu 2.81
Rh 0.2500 0.2500 0.7500  4 Pa 2.81, 4 Cu 2.81
Rh 0.2500 0.7500 0.2500  4 Pa 2.81, 4 Cu 2.81
Rh 0.2500 0.7500 0.7500  4 Pa 2.81, 4 Cu 2.81
Rh 0.7500 0.2500 0.2500  4 Pa 2.81, 4 Cu 2.81
Rh 0.7500 0.2500 0.7500  4 Pa 2.81, 4 Cu 2.81
Rh 0.7500 0.7500 0.2500  4 Pa 2.81, 4 Cu 2.81
Rh 0.7500 0.7500 0.7500  4 Cu 2.81, 4 Pa 2.81

Summary:
Energy relative to the elements = -537 meV/atom
Total magnetic moment = 0.00 μB per formula unit
Space group = Fm-3m (225)